Record 1
Computed, not measured: a relaxed structure of SrHg2HOs at the PBE-GGA level of DFT.

- Fermi-level density of states (states/eV per atom) = 0.4904
- space-group type = P4/mmm (123)
- magnetic moment (μB/atom) = 0.000

Cell lengths 5.359, 3.717, 5.359 Å; angles 90.00, 90.00, 90.00 degrees
Atoms (fractional coordinates):
Hg: 0.000 0.000 0.500
Sr: 0.500 0.500 0.500
H: 0.000 0.500 0.000
Os: 0.000 0.000 0.000
Hg: 0.500 0.000 0.000

=====

Record 2
Computed, not measured: a relaxed structure of Tc2HgHOs at the PBE-GGA level of DFT.

- Fermi-level density of states (states/eV per atom) = 1.2991
- space-group type = P4/mmm (123)
- magnetic moment (μB/atom) = 0.000

Cell lengths 4.875, 3.259, 4.875 Å; angles 90.00, 90.00, 90.00 degrees
Atoms (fractional coordinates):
Tc: 0.500 0.000 0.000
Tc: 0.000 0.000 0.500
H: 0.000 0.500 0.000
Hg: 0.500 0.500 0.500
Os: 0.000 0.000 0.000

=====

Record 3
Computed, not measured: a relaxed structure of TiHgH2Os at the PBE-GGA level of DFT.

- Fermi-level density of states (states/eV per atom) = 0.8553
- space-group type = P4/mmm (123)
- magnetic moment (μB/atom) = 0.000

Cell lengths 3.677, 5.214, 3.677 Å; angles 90.00, 90.00, 90.00 degrees
Atoms (fractional coordinates):
Ti: 0.500 0.500 0.500
Hg: 0.000 0.500 0.000
Os: 0.000 0.000 0.000
H: 0.500 0.000 0.000
H: 0.000 0.000 0.500

=====

Record 4
Computed, not measured: a relaxed structure of ZnHg2HOs at the PBE-GGA level of DFT.

- Fermi-level density of states (states/eV per atom) = 0.6003
- space-group type = P4/mmm (123)
- magnetic moment (μB/atom) = 0.000

Cell lengths 4.887, 3.201, 4.887 Å; angles 90.00, 90.00, 90.00 degrees
Atoms (fractional coordinates):
H: 0.000 0.000 0.000
Zn: 0.000 0.500 0.000
Hg: 0.500 0.000 0.000
Hg: 0.000 0.000 0.500
Os: 0.500 0.500 0.500

=====

Final energy? In order: -15.5 -30.0 -22.0 -12.7 eV for the cell shown.